A relaxed Al2SnTeAu crystal, computed with GGA-PBE.

abc: 4.820 5.958 4.820
angles: 90.00 90.00 90.00
Atoms (fractional coordinates):
Te1 0.000 0.500 0.000
Au1 0.000 0.000 0.000
Sn1 0.500 0.500 0.500
Al1 0.000 0.000 0.500
Al2 0.500 0.000 0.000

Properties
N(E_F): 0.5736 states/eV per atom
volume: 138 Å³/cell
raw formation energy: 21 kJ/mol of atoms

=====

A relaxed Cu2SnPd crystal, computed with GGA-PBE.

abc: 7.160 7.160 5.702
angles: 51.11 51.11 90.00
Atoms (fractional coordinates):
Cu1 0.617 0.125 0.250
Cu2 0.133 0.625 0.250
Cu3 0.375 0.383 0.750
Cu4 0.875 0.867 0.750
Sn1 0.000 0.000 0.000
Sn2 0.750 0.250 0.500
Pd1 0.500 0.500 0.000
Pd2 0.250 0.750 0.500

Properties
formation energy: 68 meV per atom
N(E_F): 0.2487 states/eV per atom
volume: 134 Å³/cell